Computed, not measured: a geometry-optimized Sr2Ga3SnAu4 structure at the PBE level of DFT.

Properties
**Energy of formation**: -585 meV per atom
**Final energy**: -35.4 eV for the cell shown
**M_tot**: 0.00 μB per cell

Cell: 4.596 4.596 10.908 Å, 90.00 90.00 90.00°
Space group P-4m2 (No. 115)
Asymmetric unit:
Sr 0.000 0.500 0.241
Ga 0.000 0.500 0.881
Ga 0.500 0.500 0.500
Sn 0.000 0.000 0.500
Au 0.000 0.000 0.000
Au 0.000 0.500 0.645
Au 0.500 0.500 0.000

Computed, not measured: a geometry-optimized Li2Ac4Rh structure at the PBE level of DFT.

Properties
**Energy of formation**: -36 meV per atom
**Final energy**: -55.7 eV for the cell shown
**M_tot**: 1.20 μB per cell

Cell: 5.746 5.746 16.725 Å, 90.00 90.00 90.00°
Space group I4/mmm (No. 139)
Asymmetric unit:
Li 0.000 0.000 0.121
Ac 0.000 0.000 0.320
Ac 0.000 0.500 0.000
Rh 0.000 0.000 0.500

Computed, not measured: a geometry-optimized PmTlB2O6 structure at the PBE level of DFT.

Properties
**Formation energy from raw total energies**: -2.274 eV per atom
**Final energy**: -291.9 eV for the cell shown
**M_tot**: 0.00 μB per cell

Cell: 8.484 9.708 6.505 Å, 90.00 107.49 90.00°
Space group C2/c (No. 15)
Asymmetric unit:
Pm 0.000 0.110 0.250
Tl 0.000 0.418 0.750
B 0.243 0.163 0.752
O 0.104 0.390 0.125
O 0.119 0.082 0.628
O 0.233 0.306 0.750

Computed, not measured: a geometry-optimized Li2AcZnPd4 structure at the PBE level of DFT.

Properties
**Energy of formation**: -580 meV per atom
**Final energy**: -103.9 eV for the cell shown
**M_tot**: 0.00 μB per cell

Cell: 4.3261 4.3261 26.1421 Å, 90.00 90.00 120.00°
Space group R-3m (No. 166, hexagonal axes)
Asymmetric unit:
Li 0.0000 0.0000 0.2309
Ac 0.0000 0.0000 0.0000
Zn 0.0000 0.0000 0.5000
Pd 0.0000 0.0000 0.1304
Pd 0.0000 0.0000 0.4023

> final energy of number 2 (Li2Ac4Rh)?

-55.7 eV for the cell shown

> Which of these has the lowest final energy?

PmTlB2O6

> What is the M_tot in the first record?

0.00 μB per cell